# 1
{
  "formula": "La2YTe2",
  "functional": "GGA-PBE",
  "state": "optimized geometry",
  "formation_energy_uncorrected_ev_per_atom": -0.759,
  "magmom_total_mub_per_atom": 0.17,
  "e_above_lowest_polymorph_ev_per_atom": 0.404,
  "lattice": [[9.070, 0.000, 0.000], [0.000, 9.070, 0.000], [0.000, 0.000, 3.984]],
  "species": ["La", "La", "La", "La", "Y", "Y", "Te", "Te", "Te", "Te"],
  "fractional_positions": [[0.146, 0.354, 0.000], [0.354, 0.854, 0.000], [0.646, 0.146, 0.000], [0.854, 0.646, 0.000], [0.000, 0.000, 0.000], [0.500, 0.500, 0.000], [0.155, 0.655, 0.500], [0.345, 0.155, 0.500], [0.655, 0.845, 0.500], [0.845, 0.345, 0.500]]
}

=====

# 2
{
  "formula": "NaSn3Au2",
  "functional": "GGA-PBE",
  "state": "optimized geometry",
  "magmom_total_mub_per_atom": 0.00,
  "e_above_lowest_polymorph_ev_per_atom": 0.000,
  "delta_e_f_ev_per_fu": -1.3,
  "lattice": [[8.443, -2.309, 0.000], [8.443, 2.309, 0.000], [-3.482, 0.000, 7.564]],
  "species": ["Na", "Na", "Sn", "Sn", "Sn", "Sn", "Sn", "Sn", "Au", "Au", "Au", "Au"],
  "fractional_positions": [[0.116, 0.116, 0.131], [0.884, 0.884, 0.869], [0.038, 0.038, 0.689], [0.316, 0.316, 0.115], [0.336, 0.336, 0.539], [0.664, 0.664, 0.461], [0.684, 0.684, 0.885], [0.962, 0.962, 0.311], [0.213, 0.213, 0.691], [0.497, 0.497, 0.167], [0.503, 0.503, 0.833], [0.787, 0.787, 0.309]]
}